A plane-wave DFT calculation with PBE was carried out for a geometry-optimized PrNdY3 structure.

Calculated volume, Å³/atom: 33.89
DFT formation energy, eV/atom: 0.163
Energy above the lowest structure with this stoichiometry, meV per atom: 0
Space group: P-1 (2)

Cell: 6.585 6.601 9.649 Å, 71.22 89.44 60.24°
Sites, in units of the cell vectors:
Pr 0.000 0.000 0.000
Pr 0.500 0.000 0.500
Nd 0.155 0.286 0.692
Nd 0.845 0.714 0.308
Y 0.000 0.142 0.313
Y 0.000 0.858 0.687
Y 0.343 0.311 0.047
Y 0.425 0.560 0.313
Y 0.575 0.440 0.687
Y 0.657 0.689 0.953